# 1
La2MgNi3As4 | Alexandria | PBE | optimized geometry; symmetry = P-4m2 (115); energy relative to the elements = -0.8551 eV/atom; Fermi-level density of states = 0.443 states/eV per atom
1.0
4.2885 0.0000 0.0000
0.0000 4.2885 0.0000
0.0000 0.0000 10.0302
La Mg Ni As
2 1 3 4
direct
0.0000 0.5000 0.2352
0.5000 0.0000 0.7648
0.0000 0.0000 0.5000
0.0000 0.5000 0.8914
0.5000 0.0000 0.1086
0.5000 0.5000 0.5000
0.0000 0.0000 0.0000
0.0000 0.5000 0.6482
0.5000 0.0000 0.3518
0.5000 0.5000 0.0000

---

# 2
LaMgAs2O8 | Alexandria | PBE | optimized geometry; formation energy without anion corrections = -1.8685 eV/atom; symmetry = P-3m1 (164); Fermi-level density of states = 0.684 states/eV per atom
1.0
5.4546 0.0000 0.0000
-2.7273 4.7238 0.0000
0.0000 0.0000 6.9635
La Mg As O
1 1 2 8
direct
0.0000 0.0000 0.0000
0.0000 0.0000 0.5000
0.3333 0.6667 0.2273
0.6667 0.3333 0.7727
0.1597 0.3195 0.2968
0.1597 0.8403 0.2968
0.3195 0.1597 0.7032
0.3333 0.6667 0.9804
0.6667 0.3333 0.0196
0.6805 0.8403 0.2968
0.8403 0.1597 0.7032
0.8403 0.6805 0.7032

---

# 3
LaMg3As4O12 | Alexandria | PBE | optimized geometry; formation energy without anion corrections = -1.6832 eV/atom; symmetry = R32 (155); Fermi-level density of states = 0.245 states/eV per atom
1.0
5.3343 3.0798 2.6353
-5.3343 3.0798 2.6353
0.0000 -6.1595 2.6353
La Mg As O
1 3 4 12
direct
0.0000 0.0000 0.0000
0.0000 0.5785 0.4215
0.4215 0.0000 0.5785
0.5785 0.4215 0.0000
0.0955 0.5000 0.9045
0.5000 0.5000 0.5000
0.5000 0.9045 0.0955
0.9045 0.0955 0.5000
0.0117 0.2563 0.3439
0.0698 0.9302 0.5000
0.2563 0.3439 0.0117
0.3419 0.6581 0.5000
0.3439 0.0117 0.2563
0.5000 0.0698 0.9302
0.5000 0.3419 0.6581
0.6561 0.7437 0.9883
0.6581 0.5000 0.3419
0.7437 0.9883 0.6561
0.9302 0.5000 0.0698
0.9883 0.6561 0.7437

---

# 4
La2MgAsOs | Alexandria | PBE | optimized geometry; symmetry = P4/mmm (123); energy relative to the elements = 0.9597 eV/atom; Fermi-level density of states = 1.463 states/eV per atom
1.0
5.6544 0.0000 0.0000
0.0000 5.6544 0.0000
0.0000 0.0000 4.4750
La Mg As Os
2 1 1 1
direct
0.0000 0.5000 0.0000
0.5000 0.0000 0.0000
0.0000 0.0000 0.0000
0.0000 0.0000 0.5000
0.5000 0.5000 0.5000

---

# 5
LaMg2As2Pd7 | Alexandria | PBE | optimized geometry; symmetry = C2/m (12); energy relative to the elements = -0.5470 eV/atom; Fermi-level density of states = 0.564 states/eV per atom
1.0
2.9670 -2.9492 0.0000
2.9670 2.9492 0.0000
-0.0145 0.0000 12.1549
La Mg As Pd
1 2 2 7
direct
0.0000 0.0000 0.0000
0.0001 0.0001 0.3323
0.9999 0.9999 0.6677
0.4988 0.4988 0.6898
0.5012 0.5012 0.3102
0.0005 0.5004 0.1804
0.2732 0.2732 0.5000
0.5004 0.0005 0.1804
0.5000 0.5000 0.0000
0.4996 0.9995 0.8196
0.7268 0.7268 0.5000
0.9995 0.4996 0.8196

---

# 6
La2MgAs3Pd4 | Alexandria | PBE | optimized geometry; symmetry = P-4m2 (115); energy relative to the elements = -0.9372 eV/atom; Fermi-level density of states = 0.512 states/eV per atom
1.0
4.3125 0.0000 0.0000
0.0000 4.3125 0.0000
0.0000 0.0000 10.8110
La Mg As Pd
2 1 3 4
direct
0.0000 0.5000 0.2306
0.5000 0.0000 0.7694
0.0000 0.0000 0.5000
0.0000 0.5000 0.8652
0.5000 0.0000 0.1348
0.5000 0.5000 0.5000
0.0000 0.0000 0.0000
0.0000 0.5000 0.6364
0.5000 0.0000 0.3636
0.5000 0.5000 0.0000